This record from OQMD via LeMat-Bulk describes a relaxed NdCuSe2 crystal. The functional is GGA-PBE.

Cell and atoms, written as CIF:
```
data_NdCuSe2
_chemical_formula_sum 'Nd2 Cu2 Se4'
_symmetry_space_group_name_H-M 'P 1'
_symmetry_Int_Tables_number 1
_symmetry_space_group_name_Hall 'P 1'
_cell_length_a 7.606
_cell_length_b 7.606
_cell_length_c 7.606
_cell_angle_alpha 133.32
_cell_angle_beta 133.32
_cell_angle_gamma 68.15
loop_
_atom_site_label
_atom_site_fract_x
_atom_site_fract_y
_atom_site_fract_z
Nd1 0.000 0.000 0.000
Nd2 0.750 0.250 0.500
Cu1 0.250 0.750 0.500
Cu2 0.500 0.500 0.000
Se1 0.177 0.125 0.552
Se2 0.375 0.823 0.948
Se3 0.573 0.625 0.448
Se4 0.875 0.427 0.052
```

Calculated values
**Calculated density**: 5.31 g/cm3
**Space group**: No. 122
**Electronic total energy**: -4.8741 eV per atom

=====

This record from OQMD via LeMat-Bulk describes a relaxed Nd3CuSnSe7 crystal. The functional is GGA-PBE.

Cell and atoms, written as CIF:
```
data_Nd3CuSnSe7
_chemical_formula_sum 'Nd6 Cu2 Sn2 Se14'
_symmetry_space_group_name_H-M 'P 1'
_symmetry_Int_Tables_number 1
_symmetry_space_group_name_Hall 'P 1'
_cell_length_a 10.622
_cell_length_b 10.622
_cell_length_c 6.344
_cell_angle_alpha 90.00
_cell_angle_beta 90.00
_cell_angle_gamma 120.00
loop_
_atom_site_label
_atom_site_fract_x
_atom_site_fract_y
_atom_site_fract_z
Nd1 0.139 0.783 0.000
Nd2 0.217 0.356 0.000
Nd3 0.356 0.139 0.500
Nd4 0.644 0.861 0.000
Nd5 0.783 0.644 0.500
Nd6 0.861 0.217 0.500
Cu1 0.000 0.000 0.046
Cu2 0.000 0.000 0.546
Sn1 0.333 0.667 0.423
Sn2 0.667 0.333 0.923
Se1 0.083 0.514 0.248
Se2 0.103 0.845 0.535
Se3 0.155 0.258 0.535
Se4 0.258 0.103 0.035
Se5 0.333 0.667 0.821
Se6 0.431 0.917 0.248
Se7 0.486 0.569 0.248
Se8 0.514 0.431 0.748
Se9 0.569 0.083 0.748
Se10 0.667 0.333 0.321
Se11 0.742 0.897 0.535
Se12 0.845 0.742 0.035
Se13 0.897 0.155 0.035
Se14 0.917 0.486 0.748
```

Calculated values
**Calculated density**: 6.26 g/cm3
**Space group**: No. 173
**Electronic total energy**: -5.1829 eV per atom

=====

This record from OQMD via LeMat-Bulk describes a relaxed NdCuSnSe3 crystal. The functional is GGA-PBE.

Cell and atoms, written as CIF:
```
data_NdCuSnSe3
_chemical_formula_sum 'Nd2 Cu2 Sn2 Se6'
_symmetry_space_group_name_H-M 'P 1'
_symmetry_Int_Tables_number 1
_symmetry_space_group_name_Hall 'P 1'
_cell_length_a 9.735
_cell_length_b 9.735
_cell_length_c 8.224
_cell_angle_alpha 103.55
_cell_angle_beta 103.55
_cell_angle_gamma 24.36
loop_
_atom_site_label
_atom_site_fract_x
_atom_site_fract_y
_atom_site_fract_z
Nd1 0.161 0.161 0.085
Nd2 0.839 0.839 0.915
Cu1 0.459 0.459 0.793
Cu2 0.541 0.541 0.207
Sn1 0.118 0.118 0.565
Sn2 0.882 0.882 0.435
Se1 0.000 0.000 0.000
Se2 0.324 0.324 0.161
Se3 0.329 0.329 0.658
Se4 0.500 0.500 0.500
Se5 0.671 0.671 0.342
Se6 0.676 0.676 0.839
```

Calculated values
**Calculated density**: 5.99 g/cm3
**Space group**: No. 12
**Electronic total energy**: -4.6978 eV per atom

=====

This record from OQMD via LeMat-Bulk describes a relaxed NdCuSnTeSe2 crystal. The functional is GGA-PBE.

Cell and atoms, written as CIF:
```
data_NdCuSnTeSe2
_chemical_formula_sum 'Nd2 Cu2 Sn2 Te2 Se4'
_symmetry_space_group_name_H-M 'P 1'
_symmetry_Int_Tables_number 1
_symmetry_space_group_name_Hall 'P 1'
_cell_length_a 7.261
_cell_length_b 7.261
_cell_length_c 11.394
_cell_angle_alpha 90.00
_cell_angle_beta 90.00
_cell_angle_gamma 146.81
loop_
_atom_site_label
_atom_site_fract_x
_atom_site_fract_y
_atom_site_fract_z
Nd1 0.000 0.000 0.000
Nd2 0.000 0.000 0.500
Cu1 0.473 0.527 0.750
Cu2 0.527 0.473 0.250
Sn1 0.215 0.785 0.250
Sn2 0.785 0.215 0.750
Te1 0.097 0.903 0.750
Te2 0.903 0.097 0.250
Se1 0.362 0.638 0.579
Se2 0.362 0.638 0.921
Se3 0.638 0.362 0.079
Se4 0.638 0.362 0.421
```

Calculated values
**Calculated density**: 6.18 g/cm3
**Space group**: No. 63
**Electronic total energy**: -4.6162 eV per atom